# 1
First-principles (GGA-PBE) data for Be2HgBr2 after structural relaxation, as listed in the Alexandria database.

Computed properties:
Energy above the lowest structure with this stoichiometry   371 meV per atom
E_form (uncorrected)   0.198 eV/atom

abc: 4.7001 4.7001 5.8310
angles: 66.23 66.23 90.00
Last column: nearest neighbours and their distance in Å.
Fractional positions:
Hg 0.0000 0.0000 0.0000  8 Br 3.36, 10 Be 3.50-3.68
Be 0.6156 0.6156 0.7688  1 Be 2.22
Be 0.3844 0.3844 0.2312  1 Be 2.22
Br 0.2500 0.7500 0.5000  4 Be 2.68
Br 0.7500 0.2500 0.5000  4 Be 2.68


# 2
First-principles (GGA-PBE) data for BeH2Os after structural relaxation, as listed in the Alexandria database.

Computed properties:
Energy above the lowest structure with this stoichiometry   299 meV per atom

abc: 3.4202 3.4202 3.4202
angles: 60.00 60.00 60.00
Last column: nearest neighbours and their distance in Å.
Fractional positions:
H 0.7500 0.7500 0.7500  4 Os 2.09, 4 Be 2.09
H 0.2500 0.2500 0.2500  4 Os 2.09, 4 Be 2.09
Be 0.0000 0.0000 0.0000  8 H 2.09
Os 0.5000 0.5000 0.5000  8 H 2.09


# 3
First-principles (GGA-PBE) data for Mn3ZnTe after structural relaxation, as listed in the Alexandria database.

Computed properties:
Energy above the lowest structure with this stoichiometry   0 meV per atom
E_form (uncorrected)   0.693 eV/atom

abc: 4.6672 4.6672 4.6672
angles: 90.00 90.00 90.00
Last column: nearest neighbours and their distance in Å.
Fractional positions:
Zn 0.0000 0.0000 0.0000  6 Mn 2.33
Mn 0.0000 0.0000 0.5000  2 Zn 2.33
Mn 0.5000 0.0000 0.0000  2 Zn 2.33
Mn 0.0000 0.5000 0.0000  2 Zn 2.33
Te 0.5000 0.5000 0.5000  12 Mn 3.30


# 4
First-principles (GGA-PBE) data for Ta2TlPt after structural relaxation, as listed in the Alexandria database.

Computed properties:
Energy above the lowest structure with this stoichiometry   11 meV per atom

abc: 2.9385 2.9385 8.7632
angles: 90.00 90.00 90.00
Last column: nearest neighbours and their distance in Å.
Fractional positions:
Ta 0.5000 0.5000 0.2348  8 Ta 2.94-3.02, 4 Tl 3.18
Ta 0.0000 0.0000 0.9847  4 Pt 2.79, 8 Ta 2.94-3.02
Tl 0.0000 0.0000 0.5089  4 Tl 2.94, 4 Pt 3.10, 4 Ta 3.18
Pt 0.5000 0.5000 0.7716  4 Ta 2.79, 4 Pt 2.94, 4 Tl 3.10


# 5
First-principles (GGA-PBE) data for PrFeNi4 after structural relaxation, as listed in the Alexandria database.

abc: 3.7720 6.7213 7.0983
angles: 90.00 90.00 90.00
Last column: nearest neighbours and their distance in Å.
Fractional positions:
Pr 0.0000 0.3674 0.2500  1 Fe 2.84, 8 Ni 2.93-3.04
Pr 0.0000 0.6326 0.7500  1 Fe 2.84, 8 Ni 2.93-3.04
Ni 0.0000 0.0000 0.0000  2 Fe 2.27
Ni 0.5000 0.0342 0.2500  8 Ni 2.48-2.69, 2 Fe 2.50
Ni 0.5000 0.9658 0.7500  8 Ni 2.48-2.69, 2 Fe 2.50
Ni 0.0000 0.0000 0.5000  2 Fe 2.27
Ni 0.5000 0.7284 0.4445  2 Fe 2.37, 3 Ni 2.48-2.65
Ni 0.5000 0.7284 0.0555  2 Fe 2.37, 3 Ni 2.48-2.65
Ni 0.5000 0.2716 0.9445  2 Fe 2.37, 3 Ni 2.48-2.65
Ni 0.5000 0.2716 0.5555  2 Fe 2.37, 3 Ni 2.48-2.65
Fe 0.0000 0.7894 0.2500  8 Ni 2.27-2.50
Fe 0.0000 0.2106 0.7500  8 Ni 2.27-2.50


# 6
First-principles (GGA-PBE) data for RbCu3Cl6 after structural relaxation, as listed in the Alexandria database.

Computed properties:
Energy above the lowest structure with this stoichiometry   0 meV per atom
E_form (uncorrected)   -0.777 eV/atom

abc: 9.2962 9.7438 9.7438
angles: 64.02 61.51 61.51
Last column: nearest neighbours and their distance in Å.
Fractional positions:
Cl 0.0981 0.8498 0.8498  1 Cu 2.14
Cl 0.4385 0.0632 0.7276  2 Cu 2.21-2.27
Cl 0.7707 0.2276 0.5632  2 Cu 2.21-2.27
Cl 0.5615 0.9368 0.2724  2 Cu 2.21-2.27
Cl 0.5615 0.2724 0.9368  2 Cu 2.21-2.27
Cl 0.2022 0.3498 0.3498  1 Cu 2.14
Cl 0.9019 0.1502 0.1502  1 Cu 2.14
Cl 0.7978 0.6502 0.6502  1 Cu 2.14
Cl 0.7707 0.5632 0.2276  2 Cu 2.21-2.27
Cl 0.2293 0.4368 0.7724  2 Cu 2.21-2.27
Cl 0.4385 0.7276 0.0632  2 Cu 2.21-2.27
Cl 0.2293 0.7724 0.4368  2 Cu 2.21-2.27
Rb 0.0000 0.2500 0.7500  8 Cl 3.33-3.52
Rb 0.0000 0.7500 0.2500  8 Cl 3.33-3.52
Cu 0.5000 0.7500 0.2500  4 Cl 2.27
Cu 0.5000 0.2500 0.7500  4 Cl 2.27
Cu 0.8154 0.3006 0.3006  3 Cl 2.14-2.21
Cu 0.5833 0.8006 0.8006  3 Cl 2.14-2.21
Cu 0.4167 0.1994 0.1994  3 Cl 2.14-2.21
Cu 0.1846 0.6994 0.6994  3 Cl 2.14-2.21


# 7
First-principles (GGA-PBE) data for Dy4GeSb2Se after structural relaxation, as listed in the Alexandria database.

Computed properties:
E_form (uncorrected)   -1.242 eV/atom

abc: 4.2432 7.4012 7.3591
angles: 70.76 90.00 90.00
Last column: nearest neighbours and their distance in Å.
Fractional positions:
Dy 0.5000 0.7339 0.2598  2 Ge 2.93, 1 Se 2.97, 3 Sb 3.05-3.09
Dy 0.5000 0.2661 0.7402  2 Ge 2.93, 1 Se 2.97, 3 Sb 3.05-3.09
Dy 0.0000 0.2627 0.2539  1 Ge 2.91, 2 Se 2.99, 3 Sb 3.04-3.11
Dy 0.0000 0.7373 0.7461  1 Ge 2.91, 2 Se 2.99, 3 Sb 3.04-3.11
Sb 0.0000 0.0000 0.0000  6 Dy 3.09-3.11
Sb 0.5000 0.0000 0.5000  6 Dy 3.04-3.05
Ge 0.0000 0.5000 0.5000  6 Dy 2.91-2.93
Se 0.5000 0.5000 0.0000  6 Dy 2.97-2.99


# 8
First-principles (GGA-PBE) data for GdDyHgPt after structural relaxation, as listed in the Alexandria database.

abc: 5.1151 5.1151 5.1151
angles: 60.00 60.00 60.00
Last column: nearest neighbours and their distance in Å.
Fractional positions:
Dy 0.2500 0.2500 0.2500  4 Hg 3.13, 4 Pt 3.13
Hg 0.5000 0.5000 0.5000  4 Gd 3.13, 4 Dy 3.13
Gd 0.7500 0.7500 0.7500  4 Hg 3.13, 4 Pt 3.13
Pt 0.0000 0.0000 0.0000  4 Gd 3.13, 4 Dy 3.13


# 9
First-principles (GGA-PBE) data for Ca3As5Pd6 after structural relaxation, as listed in the Alexandria database.

abc: 4.2008 9.6952 13.0984
angles: 90.00 90.00 90.00
Last column: nearest neighbours and their distance in Å.
Fractional positions:
Ca 0.5000 0.7427 0.5000  6 As 3.11-3.26, 6 Pd 3.20-3.27
Ca 0.0000 0.2573 0.0000  6 As 3.11-3.26, 6 Pd 3.20-3.27
Ca 0.5000 0.7567 0.8336  6 As 3.07-3.16, 8 Pd 3.19-3.39
Ca 0.0000 0.2433 0.3336  6 As 3.07-3.16, 8 Pd 3.19-3.39
Ca 0.0000 0.2433 0.6664  6 As 3.07-3.16, 8 Pd 3.19-3.39
Ca 0.5000 0.7567 0.1664  6 As 3.07-3.16, 8 Pd 3.19-3.39
As 0.0000 0.8521 0.6717  5 Pd 2.52-2.64
As 0.5000 0.4640 0.3831  5 Pd 2.51-2.65
As 0.0000 0.5360 0.8831  5 Pd 2.51-2.65
As 0.0000 0.8518 0.0000  4 Pd 2.57-2.59
As 0.5000 0.1479 0.8283  5 Pd 2.52-2.64
As 0.0000 0.5360 0.1169  5 Pd 2.51-2.65
As 0.5000 0.1479 0.1717  5 Pd 2.52-2.64
As 0.5000 0.1482 0.5000  4 Pd 2.57-2.59
As 0.0000 0.8521 0.3283  5 Pd 2.52-2.64
As 0.5000 0.4640 0.6169  5 Pd 2.51-2.65
Pd 0.0000 0.0041 0.8391  4 As 2.52-2.64
Pd 0.5000 0.5154 0.0000  4 As 2.61, 2 Pd 2.77
Pd 0.0000 0.4846 0.5000  4 As 2.61, 2 Pd 2.77
Pd 0.0000 0.0041 0.1609  4 As 2.52-2.64
Pd 0.5000 0.0078 0.0000  4 As 2.59-2.63
Pd 0.5000 0.9959 0.6609  4 As 2.52-2.64
Pd 0.5000 0.9959 0.3391  4 As 2.52-2.64
Pd 0.0000 0.5907 0.6962  4 As 2.51-2.65, 1 Pd 2.77
Pd 0.5000 0.4093 0.1962  4 As 2.51-2.65, 1 Pd 2.77
Pd 0.0000 0.5907 0.3038  4 As 2.51-2.65, 1 Pd 2.77
Pd 0.5000 0.4093 0.8038  4 As 2.51-2.65, 1 Pd 2.77
Pd 0.0000 0.9922 0.5000  4 As 2.59-2.63


# 10
First-principles (GGA-PBE) data for MgCr4Cl after structural relaxation, as listed in the Alexandria database.

Computed properties:
E_form (uncorrected)   0.812 eV/atom

abc: 4.9467 4.9467 4.9467
angles: 60.00 60.00 60.00
Last column: nearest neighbours and their distance in Å.
Fractional positions:
Cr 0.3697 0.8908 0.3697  6 Cr 2.37-2.58
Cr 0.8908 0.3697 0.3697  6 Cr 2.37-2.58
Cr 0.3697 0.3697 0.8908  6 Cr 2.37-2.58
Cr 0.3697 0.3697 0.3697  6 Cr 2.37-2.58
Mg 0.7500 0.7500 0.7500  12 Cr 2.91, 4 Cl 3.03
Cl 0.0000 0.0000 0.0000  12 Cr 2.89, 4 Mg 3.03


DFT total energy / eV per atom: -2.02 -4.74 -5.69 -8.00 -6.10 -3.21 -5.59 -7.06 -5.09 -6.18